A relaxed structure of MgCrBr2O. Source: the Alexandria database, functional PBE with a Hubbard U.

Results
D(E_F), states/eV/atom: 0.5461
V, Å³/atom: 24.5
Raw total energy, eV per atom: -3.9484

The structure in CIF format:
```
data_MgCrBr2O
_symmetry_space_group_name_H-M 'P 4/m m m'
_symmetry_Int_Tables_number 123
_symmetry_space_group_name_Hall '-P 4 2'
_cell_length_a 5.835
_cell_length_b 5.835
_cell_length_c 3.591
_cell_angle_alpha 90.00
_cell_angle_beta 90.00
_cell_angle_gamma 90.00
loop_
_atom_site_label
_atom_site_type_symbol
_atom_site_fract_x
_atom_site_fract_y
_atom_site_fract_z
Mg1 Mg 0.000 0.000 0.000
Cr1 Cr 0.500 0.500 0.000
Br1 Br 0.000 0.500 0.500
O1 O 0.500 0.500 0.500
```